*P*
HgMoH2 GGA-PBE optimized geometry; V = 11.21 Å³/atom; density of states at the Fermi level = 0.067 states/eV per atom
1.0
-2.780 2.780 2.900
2.780 -2.780 2.900
2.780 2.780 -2.900
Hg Mo H
2 2 4
Cartesian
0.000 0.000 0.000 Hg
0.000 2.780 1.450 Hg
2.780 0.000 1.450 Mo
0.000 0.000 2.900 Mo
1.390 -0.875 2.175 H
1.905 1.390 0.725 H
1.390 3.655 -0.725 H
0.875 1.390 3.624 H

*Q*
HgMoH2 GGA-PBE optimized geometry; V = 11.28 Å³/atom; density of states at the Fermi level = 0.315 states/eV per atom
1.0
0.000 2.826 2.826
2.826 0.000 2.826
2.826 2.826 0.000
Hg Mo H
1 1 2
Cartesian
0.000 0.000 0.000 Hg
2.826 2.826 2.826 Mo
1.413 1.413 1.413 H
4.239 4.239 4.239 H

Stability, lowest: *Q*

*P*
Hg2MoH GGA-PBE optimized geometry; V = 18.20 Å³/atom; density of states at the Fermi level = 0.840 states/eV per atom
1.0
0.000 3.314 3.314
3.314 0.000 3.314
3.314 3.314 0.000
Hg Mo H
2 1 1
Cartesian
1.657 1.657 1.657 Hg
4.971 4.971 4.971 Hg
0.000 0.000 0.000 Mo
3.314 3.314 3.314 H

*Q*
Hg2MoH GGA-PBE optimized geometry; V = 16.15 Å³/atom; density of states at the Fermi level = 0.702 states/eV per atom
1.0
-3.363 3.363 2.857
3.363 -3.363 2.857
3.363 3.363 -2.857
Hg Mo H
4 2 2
Cartesian
5.044 1.174 -0.714 Hg
1.174 1.681 0.714 Hg
-1.681 2.189 2.143 Hg
2.189 1.681 3.571 Hg
3.363 0.000 1.428 Mo
0.000 0.000 2.857 Mo
0.000 0.000 0.000 H
0.000 3.363 1.428 H

Stability, lowest: *P*

*P*
Hg3MoH GGA-PBE optimized geometry; V = 34.35 Å³/atom; density of states at the Fermi level = 0.657 states/eV per atom
1.0
5.559 0.000 0.000
0.000 5.559 0.000
0.000 0.000 5.559
Hg Mo H
3 1 1
Cartesian
0.000 0.000 2.779 Hg
0.000 2.779 0.000 Hg
2.779 0.000 0.000 Hg
0.000 0.000 0.000 Mo
2.779 2.779 2.779 H

*Q*
Hg3MoH GGA-PBE optimized geometry; V = 16.79 Å³/atom; density of states at the Fermi level = 0.706 states/eV per atom
1.0
4.378 0.000 0.000
0.000 4.378 0.000
0.000 0.000 4.378
Hg Mo H
3 1 1
Cartesian
0.000 0.000 2.189 Hg
0.000 2.189 0.000 Hg
2.189 0.000 0.000 Hg
2.189 2.189 2.189 Mo
0.000 0.000 0.000 H

Stability, lowest: *P*

*P*
Hg2HN GGA-PBE optimized geometry; V = 16.62 Å³/atom; density of states at the Fermi level = 0.000 states/eV per atom
1.0
-2.414 2.414 5.705
2.414 -2.414 5.705
2.414 2.414 -5.705
Hg H N
4 2 2
Cartesian
3.621 1.198 -1.426 Hg
1.198 1.207 1.426 Hg
-1.207 1.216 4.279 Hg
1.216 1.207 7.131 Hg
0.000 0.000 0.000 H
0.000 2.414 2.852 H
2.414 0.000 2.852 N
0.000 0.000 5.705 N

*Q*
Hg2HN GGA-PBE optimized geometry; V = 13.83 Å³/atom; density of states at the Fermi level = 0.214 states/eV per atom
1.0
0.000 3.024 3.024
3.024 0.000 3.024
3.024 3.024 0.000
Hg H N
2 1 1
Cartesian
1.512 1.512 1.512 Hg
4.536 4.536 4.536 Hg
0.000 0.000 0.000 H
3.024 3.024 3.024 N

Stability, lowest: *Q*

*P*
HgTe2HN GGA-PBE optimized geometry; V = 28.63 Å³/atom; density of states at the Fermi level = 0.924 states/eV per atom
1.0
5.976 0.000 0.000
0.000 5.976 0.000
0.000 0.000 4.009
Hg Te H N
1 2 1 1
Cartesian
0.000 0.000 0.000 Hg
0.000 2.988 0.000 Te
2.988 0.000 0.000 Te
2.988 2.988 2.004 H
0.000 0.000 2.004 N

*Q*
HgTe2HN GGA-PBE optimized geometry; V = 18.66 Å³/atom; density of states at the Fermi level = 0.833 states/eV per atom
1.0
5.601 0.000 0.000
0.000 5.601 0.000
0.000 0.000 2.974
Hg Te H N
1 2 1 1
Cartesian
0.000 0.000 0.000 Hg
0.000 2.801 1.487 Te
2.801 0.000 1.487 Te
2.801 2.801 1.487 H
2.801 2.801 0.000 N

Stability, lowest: *P*

*P*
NaHg2H2 GGA-PBE optimized geometry; V = 16.91 Å³/atom; density of states at the Fermi level = 0.183 states/eV per atom
1.0
6.566 0.000 0.000
0.000 6.566 0.000
0.000 0.000 3.922
Na Hg H
2 4 4
Cartesian
0.000 0.000 0.000 Na
3.283 3.283 0.000 Na
1.097 2.186 1.961 Hg
2.186 5.469 1.961 Hg
4.380 1.097 1.961 Hg
5.469 4.380 1.961 Hg
1.097 2.186 0.000 H
2.186 5.469 0.000 H
4.380 1.097 0.000 H
5.469 4.380 0.000 H

*Q*
NaHg2H2 GGA-PBE optimized geometry; V = 16.92 Å³/atom; density of states at the Fermi level = 0.217 states/eV per atom
1.0
-1.985 1.985 5.366
1.985 -1.985 5.366
1.985 1.985 -5.366
Na Hg H
1 2 2
Cartesian
0.000 0.000 0.000 Na
0.000 0.000 3.800 Hg
0.000 0.000 6.932 Hg
1.985 0.000 2.683 H
0.000 1.985 2.683 H

Stability, lowest: *Q*